A relaxed Mn4CdAu crystal. Source: Alexandria, functional GGA-PBE.

Cell: 4.9699 4.9699 4.9699 Å, 60.00 60.00 60.00°
Last column: nearest neighbours and their distance in Å.
Positions (direct):
1 Mn 0.1252 0.1252 0.1252  6 Mn 2.48-2.49
2 Mn 0.1252 0.1252 0.6244  6 Mn 2.48-2.49
3 Mn 0.1252 0.6244 0.1252  6 Mn 2.48-2.49
4 Mn 0.6244 0.1252 0.1252  6 Mn 2.48-2.49
5 Cd 0.5000 0.5000 0.5000  12 Mn 2.91, 4 Au 3.04
6 Au 0.7500 0.7500 0.7500  12 Mn 2.91, 4 Cd 3.04

For the density of states at the Fermi level, the calculation gives 7.633 states/eV per cell. As for the energy relative to the elements: 0.360 eV per atom.